# NaLaDyMnO6

NaLaDyMnO6 after structural relaxation (PBE+U, Alexandria via LeMat-Bulk).

Properties
**Energy**: -282.49 eV per cell
**Crystal system**: cubic

Structure (CIF):
```
data_NaLaDyMnO6
_chemical_formula_sum 'Na4 La4 Dy4 Mn4 O24'
_cell_length_a 8.129
_cell_length_b 8.129
_cell_length_c 8.129
_cell_angle_alpha 90.00
_cell_angle_beta 90.00
_cell_angle_gamma 90.00
_space_group_name_H-M_alt 'F -4 3 m'
_space_group_IT_number 216
_space_group_name_Hall 'F -4 2 3'
loop_
_atom_site_label
_atom_site_type_symbol
_atom_site_fract_x
_atom_site_fract_y
_atom_site_fract_z
Na1 Na 0.000 0.000 0.000
La1 La 0.000 0.000 0.500
Dy1 Dy 0.250 0.250 0.750
Mn1 Mn 0.250 0.250 0.250
O1 O 0.018 0.250 0.250
```